Record 1
VASP calculation (PBE-GGA) on a relaxed structure of BiPt2Au.

Summary:
**Volume**: 76.7 Å³/cell
**Magnetic moment**: 0.0 Bohr magnetons per cell
**Electronic total energy**: -0.1775 hartree per atom
**Crystal system**: tetragonal

Unit cell a=3.6124 b=3.6124 c=5.8768 alpha=90.00 beta=90.00 gamma=90.00
With the nearest neighbours (Å) after each atom.
Element x y z (fractional)
1 Pt 0.0000 0.0000 0.7622  2 Pt 2.80-3.08, 4 Au 2.91, 4 Bi 2.98
2 Pt 0.0000 0.0000 0.2378  2 Pt 2.80-3.08, 4 Au 2.91, 4 Bi 2.98
3 Bi 0.5000 0.5000 0.5000  2 Au 2.94, 8 Pt 2.98
4 Au 0.5000 0.5000 0.0000  8 Pt 2.91, 2 Bi 2.94

=====

Record 2
VASP calculation (PBE-GGA) on a relaxed structure of TlAgHg2.

Summary:
**Volume**: 101.2 Å³/cell
**Magnetic moment**: 0.0 Bohr magnetons per cell
**Electronic total energy**: -0.0506 hartree per atom
**Crystal system**: monoclinic

Unit cell a=5.1358 b=3.5681 c=5.5660 alpha=82.67 beta=90.00 gamma=90.00
With the nearest neighbours (Å) after each atom.
Element x y z (fractional)
1 Tl 0.5000 0.2500 0.2500  2 Ag 3.11, 4 Hg 3.24
2 Ag 0.5000 0.7500 0.7500  4 Hg 2.99, 2 Tl 3.11
3 Hg 0.0000 0.9380 0.9822  2 Ag 2.99, 3 Hg 3.06-3.19, 2 Tl 3.24
4 Hg 0.0000 0.5620 0.5178  2 Ag 2.99, 3 Hg 3.06-3.19, 2 Tl 3.24

=====

Repeat the first record exactly.
VASP calculation (PBE-GGA) on a relaxed structure of BiPt2Au.

Summary:
**Volume**: 76.7 Å³/cell
**Magnetic moment**: 0.0 Bohr magnetons per cell
**Electronic total energy**: -0.1775 hartree per atom
**Crystal system**: tetragonal

Unit cell a=3.6124 b=3.6124 c=5.8768 alpha=90.00 beta=90.00 gamma=90.00
With the nearest neighbours (Å) after each atom.
Element x y z (fractional)
1 Pt 0.0000 0.0000 0.7622  2 Pt 2.80-3.08, 4 Au 2.91, 4 Bi 2.98
2 Pt 0.0000 0.0000 0.2378  2 Pt 2.80-3.08, 4 Au 2.91, 4 Bi 2.98
3 Bi 0.5000 0.5000 0.5000  2 Au 2.94, 8 Pt 2.98
4 Au 0.5000 0.5000 0.0000  8 Pt 2.91, 2 Bi 2.94

=====

Repeat the first record exactly.
VASP calculation (PBE-GGA) on a relaxed structure of BiPt2Au.

Summary:
**Volume**: 76.7 Å³/cell
**Magnetic moment**: 0.0 Bohr magnetons per cell
**Electronic total energy**: -0.1775 hartree per atom
**Crystal system**: tetragonal

Unit cell a=3.6124 b=3.6124 c=5.8768 alpha=90.00 beta=90.00 gamma=90.00
With the nearest neighbours (Å) after each atom.
Element x y z (fractional)
1 Pt 0.0000 0.0000 0.7622  2 Pt 2.80-3.08, 4 Au 2.91, 4 Bi 2.98
2 Pt 0.0000 0.0000 0.2378  2 Pt 2.80-3.08, 4 Au 2.91, 4 Bi 2.98
3 Bi 0.5000 0.5000 0.5000  2 Au 2.94, 8 Pt 2.98
4 Au 0.5000 0.5000 0.0000  8 Pt 2.91, 2 Bi 2.94